First-principles (PBE-GGA) data for a relaxed structure of K2RbNa2Hg2, as listed in the Alexandria database.

As for the total energy: -0.992 eV/atom. The density of states at the Fermi level comes out at 2.35 states/eV/cell. The crystal system is trigonal. For the energy of formation, the calculation gives -0.08 eV/atom. The calculation puts the total magnetization at 0.000 μB/cell.

The space group is P-3m1 (No. 164) and the conventional cell measures 4.9304, 4.9304 and 17.3428 Å, with angles of 90.00, 90.00 and 120.00 degrees. The asymmetric unit holds K at (0.0000, 0.0000, 0.2493), Rb at (0.0000, 0.0000, 0.5000), Na at (0.3333, 0.6667, 0.9406) and Hg at (0.3333, 0.6667, 0.1319).

---

First-principles (PBE-GGA) data for a relaxed structure of KRbNaHg2, as listed in the Alexandria database.

As for the total energy: -0.790 eV/atom. The density of states at the Fermi level comes out at 3.18 states/eV/cell. The crystal system is tetragonal. The value obtained for the energy relative to the lowest polymorph listed for this composition is 0.163 eV per atom. For the energy of formation, the calculation gives 0.01 eV/atom. The calculation puts the total magnetization at 0.000 μB/cell.

The space group is P4/mmm (No. 123) and the conventional cell measures 5.993, 5.993 and 6.394 Å, with angles of 90.00, 90.00 and 90.00 degrees. The asymmetric unit holds K at (0.000, 0.000, 0.000), Rb at (0.500, 0.500, 0.000), Na at (0.500, 0.500, 0.500) and Hg at (0.000, 0.500, 0.500).